# 1
Here is a relaxed LiLaZn2Au4 crystal from Alexandria. Energies are from PBE.

Unit cell a=4.5128 b=4.5128 c=9.1174 alpha=75.67 beta=75.67 gamma=60.00
With the nearest neighbours (Å) after each atom.
Fractional coordinates of all 8 atoms:
Zn 0.7619 0.7619 0.7144  7 Au 2.71-2.78
La 0.0000 0.0000 0.0000  8 Au 3.14-3.47
Au 0.1324 0.1324 0.6027  3 Li 2.76, 4 Zn 2.77-2.78
Au 0.6000 0.6000 0.2000  1 Li 2.62, 3 Zn 2.71
Au 0.4000 0.4000 0.8000  1 Li 2.62, 3 Zn 2.71
Li 0.5000 0.5000 0.5000  8 Au 2.62-2.76
Au 0.8676 0.8676 0.3973  3 Li 2.76, 4 Zn 2.77-2.78
Zn 0.2381 0.2381 0.2856  7 Au 2.71-2.78

Output
N(E_F) = 5.1 states/eV per cell
DFT total energy = -26.7 eV/cell
Formation energy from the elements = -0.53 eV/atom
Volume = 154 Å³ per cell
M_tot = 0.0 μB/f.u.

# 2
Here is a relaxed LiLaZnAu crystal from Alexandria. Energies are from PBE.

Unit cell a=4.0483 b=4.0483 c=11.0811 alpha=90.00 beta=90.00 gamma=90.00
With the nearest neighbours (Å) after each atom.
Fractional coordinates of all 8 atoms:
Zn 0.5000 0.0000 0.6635  4 Li 2.72, 1 Au 2.82
Li 0.0000 0.0000 0.5000  4 Zn 2.72, 4 Li 2.86
La 0.5000 0.0000 0.2033  5 Au 3.16, 4 Zn 3.22
Li 0.5000 0.5000 0.5000  4 Zn 2.72, 4 Li 2.86
Au 0.5000 0.0000 0.9182  1 Zn 2.82, 1 La 3.16
La 0.0000 0.5000 0.7967  5 Au 3.16, 4 Zn 3.22
Zn 0.0000 0.5000 0.3365  4 Li 2.72, 1 Au 2.82
Au 0.0000 0.5000 0.0818  1 Zn 2.82, 1 La 3.16

Output
N(E_F) = 3.3 states/eV per cell
DFT total energy = -26.1 eV/cell
Formation energy from the elements = -0.42 eV/atom
Volume = 182 Å³ per cell
M_tot = 0.0 μB/f.u.

# 3
Here is a relaxed LiLaZnAu2 crystal from Alexandria. Energies are from PBE.

Unit cell a=4.0530 b=4.0530 c=7.0786 alpha=106.64 beta=106.64 gamma=90.00
With the nearest neighbours (Å) after each atom.
Fractional coordinates of all 5 atoms:
Au 0.6129 0.6129 0.2257  2 Li 2.69, 2 Zn 2.69, 1 Au 2.92
La 0.0000 0.0000 0.0000  8 Au 3.22
Zn 0.2500 0.7500 0.5000  4 Au 2.69, 4 Li 2.87
Li 0.7500 0.2500 0.5000  4 Au 2.69, 4 Zn 2.87
Au 0.3871 0.3871 0.7743  2 Li 2.69, 2 Zn 2.69, 1 Au 2.92

Output
N(E_F) = 2.9 states/eV per cell
DFT total energy = -17.8 eV/cell
Formation energy from the elements = -0.62 eV/atom
Volume = 106 Å³ per cell
M_tot = 0.0 μB/f.u.

# 4
Here is a relaxed Li2LaZnAu5 crystal from Alexandria. Energies are from PBE.

Unit cell a=4.8482 b=4.8482 c=7.2681 alpha=90.00 beta=90.00 gamma=90.00
With the nearest neighbours (Å) after each atom.
Fractional coordinates of all 9 atoms:
La 0.0000 0.0000 0.5000  12 Au 3.23-3.43
Li 0.5000 0.5000 0.8432  1 Li 2.28, 5 Au 2.45-2.49
Li 0.5000 0.5000 0.1568  1 Li 2.28, 5 Au 2.45-2.49
Au 0.5000 0.5000 0.5000  2 Li 2.49
Zn 0.0000 0.0000 0.0000  8 Au 2.85
Au 0.5000 0.0000 0.2062  2 Li 2.45
Au 0.0000 0.5000 0.2062  2 Li 2.45
Au 0.0000 0.5000 0.7938  2 Li 2.45
Au 0.5000 0.0000 0.7938  2 Li 2.45

Output
N(E_F) = 3.8 states/eV per cell
DFT total energy = -30.1 eV/cell
Formation energy from the elements = -0.41 eV/atom
Volume = 171 Å³ per cell
M_tot = 0.0 μB/f.u.

# 5
Here is a relaxed LiLa2Zn3Au4 crystal from Alexandria. Energies are from PBE.

Unit cell a=4.2639 b=4.2639 c=11.6509 alpha=90.00 beta=90.00 gamma=90.00
With the nearest neighbours (Å) after each atom.
Fractional coordinates of all 10 atoms:
Zn 0.0000 0.5000 0.1333  5 Au 2.62-2.64
Zn 0.5000 0.0000 0.8667  5 Au 2.62-2.64
La 0.0000 0.5000 0.7563  6 Zn 3.28-3.67, 8 Au 3.30-3.55, 2 Li 3.67
Au 0.0000 0.5000 0.3581  3 Zn 2.62-2.70, 2 Li 2.70
Au 0.5000 0.5000 0.0000  4 Zn 2.64
Zn 0.0000 0.0000 0.5000  4 Au 2.70, 4 Li 3.02
La 0.5000 0.0000 0.2437  6 Zn 3.28-3.67, 8 Au 3.30-3.55, 2 Li 3.67
Au 0.5000 0.0000 0.6419  3 Zn 2.62-2.70, 2 Li 2.70
Au 0.0000 0.0000 0.0000  4 Zn 2.64
Li 0.5000 0.5000 0.5000  4 Au 2.70, 4 Zn 3.02

Output
N(E_F) = 5.6 states/eV per cell
DFT total energy = -34.3 eV/cell
Formation energy from the elements = -0.56 eV/atom
Volume = 212 Å³ per cell
M_tot = 0.0 μB/f.u.

# 6
Here is a relaxed LiLa2Zn4Au3 crystal from Alexandria. Energies are from PBE.

Unit cell a=4.2225 b=4.2225 c=11.7826 alpha=90.00 beta=90.00 gamma=90.00
With the nearest neighbours (Å) after each atom.
Fractional coordinates of all 10 atoms:
La 0.5000 0.0000 0.2446  4 Au 3.23, 8 Zn 3.31-3.57
Li 0.5000 0.5000 0.5000  4 Zn 2.64
Au 0.0000 0.5000 0.1410  5 Zn 2.64-2.69
Zn 0.5000 0.5000 0.0000  4 Au 2.69, 4 Zn 2.99
Au 0.5000 0.0000 0.8590  5 Zn 2.64-2.69
Au 0.0000 0.0000 0.5000  4 Zn 2.64
La 0.0000 0.5000 0.7554  4 Au 3.23, 8 Zn 3.31-3.57
Zn 0.0000 0.5000 0.3653  2 Li 2.64, 3 Au 2.64
Zn 0.5000 0.0000 0.6347  2 Li 2.64, 3 Au 2.64
Zn 0.0000 0.0000 0.0000  4 Au 2.69, 4 Zn 2.99

Output
N(E_F) = 8.0 states/eV per cell
DFT total energy = -31.8 eV/cell
Formation energy from the elements = -0.51 eV/atom
Volume = 210 Å³ per cell
M_tot = 0.0 μB/f.u.